[1]
PBE-GGA Al2Zn5Ag, optimized geometry; energy of formation from the pure elements = 1.31 kcal/mol of atoms; electronic total energy = -2.03 eV/atom; energy relative to the lowest polymorph listed for this composition = 0.034 eV per atom; magnetic moment = 0.000 μB per formula unit; crystal system = monoclinic
1.0
-2.3566 -4.3212 1.0830
8.2724 -1.4260 12.3111
-2.7616 7.4578 2.7195
Zn Al Ag
20 8 4
direct
0.2823 0.3001 0.6613
0.7886 0.2070 0.8197
0.8492 0.0314 0.7964
0.7114 0.7070 0.6803
0.2177 0.8001 0.8387
0.3492 0.4686 0.2964
0.2114 0.7930 0.1803
0.2622 0.4783 0.8201
0.3041 0.3160 0.9998
0.1508 0.9686 0.2036
0.6959 0.6840 0.0002
0.7622 0.0217 0.3201
0.8041 0.1840 0.4998
0.2378 0.9783 0.6799
0.6508 0.5314 0.7036
0.1959 0.8160 0.5002
0.7378 0.5217 0.1799
0.7177 0.6999 0.3387
0.2886 0.2930 0.3197
0.7823 0.1999 0.1613
0.6997 0.8863 0.5160
0.8003 0.3863 0.9840
0.3003 0.1137 0.4840
0.6809 0.8648 0.1625
0.8191 0.3648 0.3375
0.1997 0.6137 0.0160
0.1809 0.6352 0.6625
0.3191 0.1352 0.8375
0.2317 0.6349 0.3564
0.7683 0.3651 0.6436
0.2683 0.1349 0.1436
0.7317 0.8651 0.8564

[2]
PBE-GGA MgScTc, optimized geometry; energy of formation from the pure elements = 0.88 kcal/mol of atoms; electronic total energy = -6.06 eV/atom; energy relative to the lowest polymorph listed for this composition = 0.000 eV per atom; magnetic moment = 0.000 μB per formula unit; crystal system = tetragonal
1.0
5.4436 -0.0375 0.0000
3.3800 4.2673 0.0000
-4.4118 -2.1149 2.3869
Sc Tc Mg
1 1 1
direct
0.3099 0.3099 0.0000
0.6734 0.6734 0.0000
0.0166 0.0166 0.0000

[3]
PBE-GGA Na2Ge4Pt, optimized geometry; energy of formation from the pure elements = -1.42 kcal/mol of atoms; electronic total energy = -3.94 eV/atom; magnetic moment = 0.000 μB per formula unit; crystal system = orthorhombic
1.0
-3.4792 1.6644 0.9154
-1.0374 -0.0621 -3.8299
-4.1142 -10.4366 3.3395
Na Ge Pt
2 4 1
direct
0.5000 0.1781 0.3563
0.5000 0.8219 0.6437
0.5000 0.4256 0.8512
0.5000 0.5744 0.1488
0.0000 0.9253 0.8507
0.0000 0.0747 0.1493
0.0000 0.5000 0.0000

[4]
PBE-GGA La6NdPb, optimized geometry; energy of formation from the pure elements = -3.89 kcal/mol of atoms; electronic total energy = -4.92 eV/atom; magnetic moment = 0.000 μB per formula unit; crystal system = tetragonal
1.0
-2.3246 3.8138 2.5162
-2.8469 0.9991 -4.1445
-7.3369 -6.7272 3.4180
La Nd Pb
6 1 1
direct
0.0000 0.5000 0.2435
0.5000 0.5000 0.5000
0.5000 0.5000 0.0000
0.5000 0.0000 0.7565
0.0000 0.5000 0.7565
0.5000 0.0000 0.2435
0.0000 0.0000 0.5000
0.0000 0.0000 0.0000